No. 1
A plane-wave DFT calculation with GGA-PBE was carried out for a relaxed structure of BaPtF2.

Cell lengths 5.4727, 5.4727, 5.4727 Å; angles 50.88, 50.88, 50.88 degrees
Element x y z (fractional)
Ba 0.0000 0.0000 0.0000
Pt 0.5000 0.5000 0.5000
F 0.3579 0.3579 0.3579
F 0.6421 0.6421 0.6421

Summary:
distance to the lowest polymorph of the same formula: 0.000 eV/atom
raw formation energy: -2.103 eV per atom
density of states at the Fermi level: 0.000 states/eV/atom
total magnetic moment: 0.157 μB per formula unit



No. 2
A plane-wave DFT calculation with GGA-PBE was carried out for a relaxed structure of Ru2PbSe.

Cell lengths 6.8663, 6.8663, 6.8663 Å; angles 128.59, 128.59, 75.68 degrees
Element x y z (fractional)
Ru 0.0750 0.6250 0.9500
Ru 0.3750 0.3250 0.4500
Ru 0.6750 0.1250 0.0500
Ru 0.8750 0.9250 0.5500
Pb 0.2500 0.7500 0.5000
Pb 0.5000 0.5000 0.0000
Se 0.0000 0.0000 0.0000
Se 0.7500 0.2500 0.5000

Summary:
distance to the lowest polymorph of the same formula: 0.371 eV/atom
raw formation energy: 0.602 eV per atom
density of states at the Fermi level: 0.893 states/eV/atom
total magnetic moment: 0.000 μB per formula unit



No. 3
A plane-wave DFT calculation with GGA-PBE was carried out for a relaxed structure of La4AgHg2.

Cell lengths 9.3375, 9.3375, 9.3375 Å; angles 33.85, 33.85, 33.85 degrees
Element x y z (fractional)
La 0.1234 0.1234 0.1234
La 0.3743 0.3743 0.3743
La 0.6257 0.6257 0.6257
La 0.8766 0.8766 0.8766
Ag 0.5000 0.5000 0.5000
Hg 0.2514 0.2514 0.2514
Hg 0.7486 0.7486 0.7486

Summary:
ΔH_f (0 K): -0.27 eV per atom
density of states at the Fermi level: 1.470 states/eV/atom
total magnetic moment: 0.821 μB per formula unit



No. 4
A plane-wave DFT calculation with GGA-PBE was carried out for a relaxed structure of HoScAlRh.

Cell lengths 4.8341, 4.8341, 4.8341 Å; angles 60.00, 60.00, 60.00 degrees
Element x y z (fractional)
Ho 0.0000 0.0000 0.0000
Sc 0.5000 0.5000 0.5000
Al 0.7500 0.7500 0.7500
Rh 0.2500 0.2500 0.2500

Summary:
ΔH_f (0 K): -0.60 eV per atom
density of states at the Fermi level: 0.642 states/eV/atom
total magnetic moment: 0.000 μB per formula unit